(1)
A geometry-optimized Ac3Sm2Zn3 structure, computed with PBE.

a b c (Å): 3.8671 5.6057 22.7981
angles (deg): 90.00 90.00 90.00
Space group Immm (No. 71)
Unique sites:
Ac 0.0000 0.0000 0.0000
Ac 0.0000 0.5000 0.1200
Sm 0.0000 0.0000 0.2305
Zn 0.0000 0.0000 0.5000
Zn 0.0000 0.5000 0.3761

=====

(2)
A geometry-optimized AcSmZn structure, computed with PBE.

Excess energy over the best structure of this formula in the dataset = 4.75 kcal/mol of atoms

a b c (Å): 10.5207 5.2374 7.4079
angles (deg): 90.00 90.00 90.00
Space group Pnma (No. 62)
Unique sites:
Ac 0.1348 0.2500 0.0037
Sm 0.1129 0.2500 0.5028
Zn 0.1220 0.7500 0.2574

=====

(3)
A geometry-optimized Ac3SmZn4 structure, computed with PBE.

a b c (Å): 3.8467 3.8467 15.3524
angles (deg): 90.00 90.00 90.00
Space group P4/mmm (No. 123)
Unique sites:
Ac 0.0000 0.0000 0.0000
Ac 0.0000 0.0000 0.2594
Sm 0.0000 0.0000 0.5000
Zn 0.5000 0.5000 0.1282
Zn 0.5000 0.5000 0.3950

=====

(4)
A geometry-optimized AcSmZn structure, computed with PBE.

Excess energy over the best structure of this formula in the dataset = 0.00 kcal/mol of atoms

a b c (Å): 3.8235 3.8235 12.8343
angles (deg): 90.00 90.00 90.00
Space group I4mm (No. 107)
Unique sites:
Ac 0.0000 0.0000 0.0000
Sm 0.0000 0.0000 0.2851
Zn 0.0000 0.0000 0.6638

=====

(5)
A geometry-optimized AcSm3Zn2 structure, computed with PBE.

a b c (Å): 3.6979 3.6979 12.6687
angles (deg): 90.00 90.00 90.00
Space group P4/mmm (No. 123)
Unique sites:
Ac 0.0000 0.0000 0.0000
Sm 0.5000 0.5000 0.2205
Sm 0.5000 0.5000 0.5000
Zn 0.0000 0.0000 0.3596

=====

(6)
A geometry-optimized Ac5SmZn4 structure, computed with PBE.

a b c (Å): 3.9086 3.9086 20.8903
angles (deg): 90.00 90.00 90.00
Space group P4/mmm (No. 123)
Unique sites:
Ac 0.0000 0.0000 0.0000
Ac 0.0000 0.0000 0.1871
Ac 0.0000 0.0000 0.3733
Sm 0.5000 0.5000 0.5000
Zn 0.5000 0.5000 0.0931
Zn 0.5000 0.5000 0.2818

=====

(7)
A geometry-optimized AcSmZn structure, computed with PBE.

Excess energy over the best structure of this formula in the dataset = 3.40 kcal/mol of atoms

a b c (Å): 5.2871 5.2871 3.9134
angles (deg): 90.00 90.00 120.00
Space group P3m1 (No. 156)
Unique sites:
Ac 0.0000 0.0000 0.0000
Sm 0.3333 0.6667 0.5033
Zn 0.6667 0.3333 0.4919

=====

(8)
A geometry-optimized AcSm3Zn4 structure, computed with PBE.

a b c (Å): 10.4781 7.4407 5.2398
angles (deg): 90.00 90.00 90.00
Space group Pmma (No. 51)
Unique sites:
Ac 0.0000 0.0000 0.0000
Sm 0.0000 0.5000 0.0000
Sm 0.2500 0.0000 0.4989
Sm 0.2500 0.5000 0.4986
Zn 0.0000 0.2652 0.5000
Zn 0.2500 0.2652 0.9980

=====

(9)
A geometry-optimized AcSmZn structure, computed with PBE.

Excess energy over the best structure of this formula in the dataset = 4.96 kcal/mol of atoms

a b c (Å): 7.4155 7.4155 7.4155
angles (deg): 90.00 90.00 90.00
Space group F-43m (No. 216)
Unique sites:
Ac 0.0000 0.0000 0.0000
Sm 0.0000 0.0000 0.5000
Zn 0.2500 0.2500 0.7500

=====

(10)
A geometry-optimized AcSm2Zn9 structure, computed with PBE.

a b c (Å): 5.6162 5.6162 26.1373
angles (deg): 90.00 90.00 120.00
Space group R-3m (No. 166, hexagonal axes)
Unique sites:
Ac 0.0000 0.0000 0.0000
Sm 0.0000 0.0000 0.1430
Zn 0.0000 0.0000 0.3354
Zn 0.0000 0.0000 0.5000
Zn 0.0061 0.5031 0.9168

=====

(11)
A geometry-optimized AcSm4Zn structure, computed with PBE.

a b c (Å): 3.7147 3.7147 14.0492
angles (deg): 90.00 90.00 90.00
Space group P4/mmm (No. 123)
Unique sites:
Ac 0.0000 0.0000 0.0000
Sm 0.0000 0.0000 0.3744
Sm 0.5000 0.5000 0.1932
Zn 0.5000 0.5000 0.5000

=====

(12)
A geometry-optimized AcSm4Zn5 structure, computed with PBE.

a b c (Å): 3.6971 3.6971 18.4634
angles (deg): 90.00 90.00 90.00
Space group P4/mmm (No. 123)
Unique sites:
Ac 0.0000 0.0000 0.0000
Sm 0.0000 0.0000 0.2091
Sm 0.0000 0.0000 0.4030
Zn 0.5000 0.5000 0.1161
Zn 0.5000 0.5000 0.3053
Zn 0.5000 0.5000 0.5000

=====

(13)
A geometry-optimized Ac3SmZn8 structure, computed with PBE.

a b c (Å): 5.8915 5.8915 9.0159
angles (deg): 90.00 90.00 120.00
Space group P3m1 (No. 156)
Unique sites:
Ac 0.0000 0.0000 0.0000
Ac 0.0000 0.0000 0.4028
Ac 0.3333 0.6667 0.8856
Sm 0.3333 0.6667 0.5035
Zn 0.0004 0.5002 0.2036
Zn 0.3547 0.1774 0.6951
Zn 0.6667 0.3333 0.4441
Zn 0.6667 0.3333 0.9583

=====

(14)
A geometry-optimized AcSm2Zn structure, computed with PBE.

Excess energy over the best structure of this formula in the dataset = 6.54 kcal/mol of atoms

a b c (Å): 7.9161 7.9161 7.9161
angles (deg): 90.00 90.00 90.00
Space group Fm-3m (No. 225)
Unique sites:
Ac 0.0000 0.0000 0.0000
Sm 0.2500 0.2500 0.2500
Zn 0.0000 0.0000 0.5000

=====

(15)
A geometry-optimized Ac2Sm2Zn structure, computed with PBE.

a b c (Å): 3.8561 3.8561 23.3461
angles (deg): 90.00 90.00 90.00
Space group I4/mmm (No. 139)
Unique sites:
Ac 0.0000 0.0000 0.0837
Sm 0.0000 0.0000 0.2997
Zn 0.0000 0.0000 0.5000

=====

(16)
A geometry-optimized AcSm2Zn structure, computed with PBE.

Excess energy over the best structure of this formula in the dataset = 3.63 kcal/mol of atoms

a b c (Å): 4.9228 4.9228 5.1042
angles (deg): 90.00 90.00 90.00
Space group P4/mmm (No. 123)
Unique sites:
Ac 0.0000 0.0000 0.0000
Sm 0.0000 0.5000 0.5000
Zn 0.5000 0.5000 0.0000

=====

(17)
A geometry-optimized AcSmZr structure, computed with PBE.

Excess energy over the best structure of this formula in the dataset = 4.56 kcal/mol of atoms

a b c (Å): 5.6391 5.6391 3.5099
angles (deg): 90.00 90.00 120.00
Space group P-6m2 (No. 187)
Unique sites:
Ac 0.0000 0.0000 0.0000
Sm 0.6667 0.3333 0.5000
Zr 0.3333 0.6667 0.0000

=====

(18)
A geometry-optimized AcSmZr structure, computed with PBE.

Excess energy over the best structure of this formula in the dataset = 0.00 kcal/mol of atoms

a b c (Å): 3.9006 3.9006 13.2926
angles (deg): 90.00 90.00 90.00
Space group P4/nmm (No. 129, origin choice 2)
Unique sites:
Ac 0.2500 0.2500 0.1084
Sm 0.2500 0.2500 0.6944
Zr 0.2500 0.2500 0.4526

=====

(19)
A geometry-optimized AcSmZr structure, computed with PBE.

Excess energy over the best structure of this formula in the dataset = 2.54 kcal/mol of atoms

a b c (Å): 3.5565 3.5565 15.5055
angles (deg): 90.00 90.00 90.00
Space group I4mm (No. 107)
Unique sites:
Ac 0.0000 0.0000 0.0000
Sm 0.0000 0.0000 0.6934
Zr 0.0000 0.0000 0.3371

=====

(20)
A geometry-optimized Ac2SmZr structure, computed with PBE.

a b c (Å): 3.6186 3.6186 37.9314
angles (deg): 90.00 90.00 120.00
Space group R-3m (No. 166, hexagonal axes)
Unique sites:
Ac 0.0000 0.0000 0.0844
Sm 0.0000 0.0000 0.5000
Zr 0.0000 0.0000 0.0000

=====

no.,DOS at the Fermi energy (states/eV/atom),ΔE_f (eV per atom)
1,1.0864,-0.19
2,1.4276,0.04
3,1.2383,-0.25
4,1.2111,-0.16
5,1.1496,-0.20
6,1.0672,-0.19
7,1.4315,-0.02
8,1.0954,-0.28
9,1.8233,0.05
10,0.6786,-0.30
11,1.2702,-0.08
12,1.2181,-0.29
13,0.6232,-0.23
14,1.4963,0.15
15,1.0579,-0.07
16,1.6644,0.02
17,1.9598,0.28
18,1.5603,0.08
19,1.4210,0.19
20,1.3379,0.46